# 1
Entry from Alexandria: a relaxed structure of NaNdMo2O8 (PBE+U).

The structure in POSCAR format:
```
NaNdMo2O8
1.0
-2.677 2.677 5.843
2.677 -2.677 5.843
2.677 2.677 -5.843
Na Nd Mo O
1 1 2 8
Cartesian
0.000 0.000 0.000 Na
0.000 2.677 2.922 Nd
2.677 0.000 2.922 Mo
0.000 0.000 5.843 Mo
1.377 -0.819 1.971 O
3.496 -1.299 3.873 O
3.428 1.387 -1.018 O
3.976 0.819 1.971 O
1.387 1.925 1.018 O
1.858 1.299 3.873 O
-0.752 1.289 4.825 O
1.289 0.752 6.861 O
```

Computed properties:
ρ (g/cm3): 4.83
ΔE to the lowest computed polymorph (meV/atom): 0
N(E_F) (states/eV/atom): 0.000

***

# 2
Entry from Alexandria: a relaxed structure of Na3Nd3MoO8 (PBE+U).

The structure in POSCAR format:
```
Na3Nd3MoO8
1.0
5.965 -3.494 0.000
5.965 3.494 0.000
-3.824 0.000 5.708
Na Nd Mo O
3 3 1 8
Cartesian
0.000 0.000 0.000 Na
1.070 1.747 2.854 Na
1.070 -1.747 2.854 Na
2.982 1.747 0.000 Nd
2.982 -1.747 0.000 Nd
4.052 0.000 2.854 Nd
-1.912 0.000 2.854 Mo
4.779 1.953 1.631 O
-0.191 0.000 4.206 O
3.325 1.953 4.077 O
2.206 0.000 1.383 O
5.899 0.000 4.325 O
4.779 -1.953 1.631 O
8.296 0.000 1.502 O
3.325 -1.953 4.077 O
```

Computed properties:
ρ (g/cm3): 5.07
N(E_F) (states/eV/atom): 0.000

***

# 3
Entry from Alexandria: a relaxed structure of NaNdMoO4 (PBE+U).

The structure in POSCAR format:
```
NaNdMoO4
1.0
-3.287 3.610 4.715
3.287 -3.610 4.715
3.287 3.610 -4.715
Na Nd Mo O
2 2 2 8
Cartesian
0.000 1.805 1.078 Na
3.287 1.805 3.637 Na
3.287 0.000 0.000 Nd
0.000 0.000 4.715 Nd
1.643 1.805 -2.358 Mo
1.643 -1.805 2.358 Mo
3.287 -0.433 2.345 O
3.287 3.177 -2.345 O
1.788 1.805 -0.303 O
4.785 1.805 -0.303 O
-1.498 1.805 5.018 O
1.498 1.805 5.018 O
0.000 0.433 7.061 O
0.000 4.043 2.370 O
```

Computed properties:
ρ (g/cm3): 4.86

***

How do the records compare in electronic total energy? In the order shown, they have -7.131 -6.769 -6.966 eV/atom.
How do the records compare in volume? In the order shown, they have 14.0 15.9 16.0 Å³ per atom.